26
Lattice="5.614 -0.004 -0.003 0.004 5.567 0.005 -2.797 2.776 12.771" Properties=species:S:1:pos:R:3 comment="Ba2YTlCo2O7, relaxed, DFT PBE+U" n_ef_per_ev_atom=0.017 relative_energy_kj_per_mol_atoms=0.0 energy_ev_per_cell=-165.17 m_tot_mub_per_cell=1.98 pbc="T T T"
O 2.925 2.806 2.190
O 1.454 6.917 7.792
O 1.409 1.363 4.953
O 2.824 2.744 10.074
O 4.258 4.134 4.981
O -1.394 4.147 7.819
O 0.392 3.182 0.002
O -1.378 6.936 7.818
O 0.014 5.536 2.698
O 1.425 4.152 4.957
O 0.127 5.587 10.583
O -0.552 3.129 12.770
O 4.234 1.344 4.976
O 1.431 4.128 7.792
Co 2.828 2.747 8.275
Co 0.021 5.536 4.497
Co 2.831 2.750 4.716
Co 0.028 5.533 8.055
Y 2.834 5.532 6.374
Y 0.025 2.750 6.398
Ba 2.824 5.534 10.155
Ba 2.814 5.533 2.599
Ba 0.010 2.759 2.617
Ba 0.010 2.746 10.173
Tl 5.525 5.520 0.001
Tl 2.543 2.582 0.001